No. 1
An optimized crystal structure of Ca8Pd2Pb. Source: Alexandria, functional PBE-GGA.

Magnetization   0.0 μB/cell
SG   No. 8
N(E_F)   5.8 states/eV/f.u.
Formation energy   -0.4098 eV/atom

abc: 5.7100 8.2486 8.2486
angles: 111.74 97.82 97.82
Last column: nearest neighbours and their distance in Å.
Positions (direct):
Pb  0.0009  0.0031  0.0031  4 Ca 3.33-3.41
Ca  0.5821  0.3318  0.0673  2 Pd 3.04-3.07
Ca  0.9999  0.7590  0.2469  2 Pd 3.02, 1 Pb 3.33
Ca  0.4175  0.6743  0.9389  2 Pd 3.04-3.07
Ca  0.9999  0.2469  0.7590  2 Pd 3.02, 1 Pb 3.33
Ca  0.1967  0.3815  0.3815  2 Pd 3.10, 1 Pb 3.41
Ca  0.4175  0.9389  0.6743  2 Pd 3.04-3.07
Pd  0.5000  0.6872  0.3191  8 Ca 3.02-3.10
Ca  0.8032  0.6248  0.6248  2 Pd 3.10, 1 Pb 3.41
Pd  0.5000  0.3191  0.6872  8 Ca 3.02-3.10
Ca  0.5821  0.0673  0.3318  2 Pd 3.04-3.07

=====

No. 2
An optimized crystal structure of Ca2Pd6Pb. Source: Alexandria, functional PBE-GGA.

ΔE to the lowest computed polymorph   0 meV/atom
Magnetization   0.0 μB/cell
SG   No. 12
N(E_F)   3.4 states/eV/f.u.
Formation energy   -0.4935 eV/atom

abc: 5.7764 5.7531 6.4924
angles: 77.87 90.00 120.13
Last column: nearest neighbours and their distance in Å.
Positions (direct):
Ca  0.3589  0.7177  0.8260  6 Pd 3.04
Pd  0.1189  0.2377  0.3263  1 Pb 2.67, 7 Pd 2.76-2.98
Pb  0.0000  0.0000  0.0000  6 Pd 2.67-2.71
Pd  0.8811  0.7623  0.6737  1 Pb 2.67, 7 Pd 2.76-2.98
Pd  0.4026  0.2763  0.6725  1 Pb 2.71, 5 Pd 2.72-2.98
Pd  0.8737  0.2763  0.6725  1 Pb 2.71, 5 Pd 2.72-2.98
Pd  0.1263  0.7237  0.3275  1 Pb 2.71, 5 Pd 2.72-2.98
Ca  0.6411  0.2823  0.1740  6 Pd 3.04
Pd  0.5974  0.7237  0.3275  1 Pb 2.71, 5 Pd 2.72-2.98

=====

No. 3
An optimized crystal structure of CaPd6Pb4. Source: Alexandria, functional PBE-GGA.

Magnetization   0.0 μB/cell
SG   No. 121
N(E_F)   5.6 states/eV/f.u.
Formation energy   -0.2613 eV/atom

abc: 7.1498 7.1498 7.1498
angles: 85.93 122.37 122.37
Last column: nearest neighbours and their distance in Å.
Positions (direct):
Pd  0.3305  0.5754  0.5754  4 Pb 2.69-2.85, 4 Pd 2.74-2.95
Pd  0.0000  0.4246  0.7551  4 Pb 2.69-2.85, 4 Pd 2.74-2.95
Pb  0.4255  0.8920  0.8920  4 Pd 2.69-2.85
Ca  0.0000  0.0000  0.0000  4 Pb 3.37, 8 Pd 3.40-3.45
Pd  0.0000  0.7551  0.4246  4 Pb 2.69-2.85, 4 Pd 2.74-2.95
Pb  0.0000  0.5335  0.1080  4 Pd 2.69-2.85
Pd  0.6695  0.2449  0.2449  4 Pb 2.69-2.85, 4 Pd 2.74-2.95
Pd  0.5000  0.0000  0.5000  4 Pd 2.74
Pb  0.5745  0.4665  0.4665  4 Pd 2.69-2.85
Pd  0.5000  0.5000  0.0000  4 Pd 2.74
Pb  0.0000  0.1080  0.5335  4 Pd 2.69-2.85

=====

No. 4
An optimized crystal structure of CaPd4Pb4. Source: Alexandria, functional PBE-GGA.

ΔE to the lowest computed polymorph   0 meV/atom
Magnetization   0.0 μB/cell
SG   No. 86
N(E_F)   4.1 states/eV/f.u.
Formation energy   -0.2585 eV/atom

abc: 5.5696 9.1112 9.1112
angles: 90.00 90.00 90.00
Last column: nearest neighbours and their distance in Å.
Positions (direct):
Pd  0.0944  0.8618  0.7050  1 Pd 2.80, 5 Pb 2.82-2.87, 1 Ca 3.01
Pd  0.4056  0.6382  0.7950  1 Pd 2.80, 5 Pb 2.82-2.87, 1 Ca 3.01
Ca  0.0000  0.0000  0.0000  4 Pd 3.01
Pb  0.4050  0.6593  0.1094  5 Pd 2.82-2.87
Ca  0.5000  0.5000  0.5000  4 Pd 3.01
Pd  0.9056  0.7050  0.1382  1 Pd 2.80, 5 Pb 2.82-2.87, 1 Ca 3.01
Pb  0.4050  0.3407  0.8906  5 Pd 2.82-2.87
Pb  0.5950  0.1094  0.3407  5 Pd 2.82-2.87
Pb  0.5950  0.8906  0.6593  5 Pd 2.82-2.87
Pd  0.9056  0.2950  0.8618  1 Pd 2.80, 5 Pb 2.82-2.87, 1 Ca 3.01
Pd  0.5944  0.7950  0.3618  1 Pd 2.80, 5 Pb 2.82-2.87, 1 Ca 3.01
Pd  0.5944  0.2050  0.6382  1 Pd 2.80, 5 Pb 2.82-2.87, 1 Ca 3.01
Pd  0.0944  0.1382  0.2950  1 Pd 2.80, 5 Pb 2.82-2.87, 1 Ca 3.01
Pb  0.0950  0.8407  0.3906  5 Pd 2.82-2.87
Pb  0.9050  0.3906  0.1593  5 Pd 2.82-2.87
Pd  0.4056  0.3618  0.2050  1 Pd 2.80, 5 Pb 2.82-2.87, 1 Ca 3.01
Pb  0.0950  0.1593  0.6094  5 Pd 2.82-2.87
Pb  0.9050  0.6094  0.8407  5 Pd 2.82-2.87

=====

No. 5
An optimized crystal structure of CaPd2Pb. Source: Alexandria, functional PBE-GGA.

Magnetization   0.0 μB/cell
SG   No. 59
N(E_F)   2.1 states/eV/f.u.
Formation energy   -0.5491 eV/atom

abc: 4.7721 5.2482 6.8767
angles: 90.00 90.00 90.00
Last column: nearest neighbours and their distance in Å.
Positions (direct):
Pd  0.0000  0.8284  0.7798  3 Pb 2.85-2.88, 4 Ca 2.93-3.15, 3 Pd 3.02-3.03
Ca  0.5000  0.6933  0.5000  8 Pd 2.93-3.15
Pb  0.0000  0.2370  0.5000  6 Pd 2.85-2.88
Ca  0.0000  0.3067  0.0000  8 Pd 2.93-3.15
Pd  0.5000  0.1716  0.7202  3 Pb 2.85-2.88, 4 Ca 2.93-3.15, 3 Pd 3.02-3.03
Pd  0.5000  0.1716  0.2798  3 Pb 2.85-2.88, 4 Ca 2.93-3.15, 3 Pd 3.02-3.03
Pd  0.0000  0.8284  0.2202  3 Pb 2.85-2.88, 4 Ca 2.93-3.15, 3 Pd 3.02-3.03
Pb  0.5000  0.7630  0.0000  6 Pd 2.85-2.88

=====

No. 6
An optimized crystal structure of CaPdPb2. Source: Alexandria, functional PBE-GGA.

Magnetization   0.0 μB/cell
SG   No. 123
N(E_F)   1.5 states/eV/f.u.
Formation energy   -0.3344 eV/atom

abc: 4.5754 4.6555 4.6555
angles: 90.00 90.00 90.00
Last column: nearest neighbours and their distance in Å.
Positions (direct):
Pb  0.0000  0.0000  0.5000  4 Ca 3.26, 4 Pd 3.26, 4 Pb 3.29
Pb  0.0000  0.5000  0.0000  4 Ca 3.26, 4 Pd 3.26, 4 Pb 3.29
Pd  0.5000  0.0000  0.0000  8 Pb 3.26, 4 Ca 3.29
Ca  0.5000  0.5000  0.5000  8 Pb 3.26, 4 Pd 3.29

=====

No. 7
An optimized crystal structure of Ca2Pd4Pb. Source: Alexandria, functional PBE-GGA.

Magnetization   0.0 μB/cell
SG   No. 139
N(E_F)   3.1 states/eV/f.u.
Formation energy   -0.0292 eV/atom

abc: 5.0708 5.0708 8.1058
angles: 108.23 108.23 90.00
Last column: nearest neighbours and their distance in Å.
Positions (direct):
Pd  0.0000  0.5000  0.0000  2 Pb 2.54
Pb  0.0000  0.0000  0.0000  6 Pd 2.54-2.68
Ca  0.6288  0.6288  0.2576  1 Pd 2.71
Pd  0.5000  0.0000  0.0000  2 Pb 2.54
Pd  0.1846  0.1846  0.3693  1 Pb 2.68, 1 Ca 2.71
Ca  0.3712  0.3712  0.7424  1 Pd 2.71
Pd  0.8154  0.8154  0.6307  1 Pb 2.68, 1 Ca 2.71

=====

No. 8
An optimized crystal structure of CaPd6Pb6. Source: Alexandria, functional PBE-GGA.

Magnetization   0.0 μB/cell
SG   No. 71
N(E_F)   6.4 states/eV/f.u.
Formation energy   -0.3128 eV/atom

abc: 5.8886 7.5277 7.5277
angles: 76.90 66.98 66.98
Last column: nearest neighbours and their distance in Å.
Positions (direct):
Pb  0.3381  0.6619  0.6619  6 Pd 2.91-2.92
Pb  0.0000  0.3358  0.6642  6 Pd 3.06-3.07, 1 Pb 3.07, 1 Ca 3.14
Pb  0.6619  0.3381  0.3381  6 Pd 2.91-2.92
Pd  0.5000  0.7576  0.2424  6 Pb 2.86-3.07, 4 Pd 2.95
Pd  0.0000  0.5000  0.0000  6 Pb 2.88-3.06, 4 Pd 2.94-2.95
Ca  0.0000  0.0000  0.0000  8 Pb 3.14-3.45
Pd  0.5000  0.2424  0.7576  6 Pb 2.86-3.07, 4 Pd 2.95
Pd  0.5000  0.0000  0.5000  6 Pb 2.88-3.06, 4 Pd 2.94-2.95
Pb  0.6711  0.8289  0.8289  6 Pd 2.86-2.88
Pb  0.0000  0.6642  0.3358  6 Pd 3.06-3.07, 1 Pb 3.07, 1 Ca 3.14
Pd  0.5000  0.5000  0.0000  6 Pb 2.88-3.06, 4 Pd 2.94-2.95
Pd  0.0000  0.0000  0.5000  6 Pb 2.88-3.06, 4 Pd 2.94-2.95
Pb  0.3289  0.1711  0.1711  6 Pd 2.86-2.88

=====

No. 9
An optimized crystal structure of Ca2Pd5Pb4. Source: Alexandria, functional PBE-GGA.

Magnetization   0.0 μB/cell
SG   No. 69
N(E_F)   6.4 states/eV/f.u.
Formation energy   -0.3566 eV/atom

abc: 5.9562 5.9307 9.2075
angles: 80.65 71.13 59.86
Last column: nearest neighbours and their distance in Å.
Positions (direct):
Pb  0.2109  0.3188  0.2593  5 Pd 2.73-2.86
Ca  0.8930  0.0000  0.2139  6 Pb 3.42-3.52, 6 Pd 3.50-3.51, 1 Ca 3.73
Pb  0.7891  0.6812  0.7407  5 Pd 2.73-2.86
Pb  0.4702  0.3188  0.7407  5 Pd 2.73-2.86
Pd  0.5000  0.5000  0.0000  4 Pb 2.86, 4 Pd 2.97-2.98
Pd  0.7500  0.5000  0.5000  4 Pb 2.73, 2 Pd 2.98
Pd  0.2500  0.5000  0.5000  4 Pb 2.73, 2 Pd 2.98
Pd  0.5000  0.0000  0.0000  4 Pb 2.79, 4 Pd 2.97
Pb  0.5298  0.6812  0.2593  5 Pd 2.73-2.86
Pd  0.0000  0.5000  0.0000  4 Pb 2.86, 4 Pd 2.97-2.98
Ca  0.1070  0.0000  0.7861  6 Pb 3.42-3.52, 6 Pd 3.50-3.51, 1 Ca 3.73

=====

No. 10
An optimized crystal structure of CaPd2Pb. Source: Alexandria, functional PBE-GGA.

Magnetization   0.0 μB/cell
SG   No. 123
N(E_F)   1.1 states/eV/f.u.
Formation energy   -0.5288 eV/atom

abc: 3.6762 4.7495 4.7495
angles: 90.00 90.00 90.00
Last column: nearest neighbours and their distance in Å.
Positions (direct):
Pd  0.0000  0.0000  0.5000  4 Pb 3.00, 4 Ca 3.00, 4 Pd 3.36
Pd  0.0000  0.5000  0.0000  4 Pb 3.00, 4 Ca 3.00, 4 Pd 3.36
Pb  0.5000  0.5000  0.5000  8 Pd 3.00, 4 Ca 3.36
Ca  0.5000  0.0000  0.0000  8 Pd 3.00, 4 Pb 3.36

=====

No. 11
An optimized crystal structure of CaPd2Pb2. Source: Alexandria, functional PBE-GGA.

Magnetization   0.0 μB/cell
SG   No. 127
N(E_F)   2.5 states/eV/f.u.
Formation energy   -0.3078 eV/atom

abc: 8.2633 8.2633 3.3933
angles: 90.00 90.00 90.00
Last column: nearest neighbours and their distance in Å.
Positions (direct):
Pb  0.3597  0.8597  0.0000  6 Pd 2.93-2.97, 2 Ca 3.19, 1 Pb 3.28
Pd  0.1550  0.6550  0.5000  6 Pb 2.93-2.97
Pb  0.8597  0.6403  0.0000  6 Pd 2.93-2.97, 2 Ca 3.19, 1 Pb 3.28
Pb  0.1403  0.3597  0.0000  6 Pd 2.93-2.97, 2 Ca 3.19, 1 Pb 3.28
Ca  0.0000  0.0000  0.0000  4 Pb 3.19, 2 Ca 3.39, 8 Pd 3.56
Pd  0.3450  0.1550  0.5000  6 Pb 2.93-2.97
Pd  0.6550  0.8450  0.5000  6 Pb 2.93-2.97
Pb  0.6403  0.1403  0.0000  6 Pd 2.93-2.97, 2 Ca 3.19, 1 Pb 3.28
Ca  0.5000  0.5000  0.0000  4 Pb 3.19, 2 Ca 3.39, 8 Pd 3.56
Pd  0.8450  0.3450  0.5000  6 Pb 2.93-2.97

=====

No. 12
An optimized crystal structure of CaPd4Pb4. Source: Alexandria, functional PBE-GGA.

ΔE to the lowest computed polymorph   5 meV/atom
Magnetization   0.0 μB/cell
SG   No. 137
N(E_F)   4.9 states/eV/f.u.
Formation energy   -0.2538 eV/atom

abc: 6.5793 6.5793 9.7368
angles: 90.00 90.00 90.00
Last column: nearest neighbours and their distance in Å.
Positions (direct):
Ca  0.5000  0.5000  0.5000  4 Pb 3.35, 8 Pd 3.64
Pb  0.0000  0.7370  0.7055  5 Pd 2.74-2.99
Pb  0.0000  0.2630  0.7055  5 Pd 2.74-2.99
Pb  0.2630  0.0000  0.2945  5 Pd 2.74-2.99
Pd  0.2895  0.0000  0.5750  5 Pb 2.74-2.99, 3 Pd 2.77-3.06
Pd  0.5000  0.7895  0.0750  5 Pb 2.74-2.99, 3 Pd 2.77-3.06
Pb  0.5000  0.2370  0.7945  5 Pd 2.74-2.99
Pd  0.0000  0.7105  0.4250  5 Pb 2.74-2.99, 3 Pd 2.77-3.06
Pd  0.5000  0.2105  0.0750  5 Pb 2.74-2.99, 3 Pd 2.77-3.06
Pd  0.7105  0.0000  0.5750  5 Pb 2.74-2.99, 3 Pd 2.77-3.06
Pb  0.7370  0.0000  0.2945  5 Pd 2.74-2.99
Pd  0.7895  0.5000  0.9250  5 Pb 2.74-2.99, 3 Pd 2.77-3.06
Pd  0.2105  0.5000  0.9250  5 Pb 2.74-2.99, 3 Pd 2.77-3.06
Pd  0.0000  0.2895  0.4250  5 Pb 2.74-2.99, 3 Pd 2.77-3.06
Ca  0.0000  0.0000  0.0000  4 Pb 3.35, 8 Pd 3.64
Pb  0.2370  0.5000  0.2055  5 Pd 2.74-2.99
Pb  0.7630  0.5000  0.2055  5 Pd 2.74-2.99
Pb  0.5000  0.7630  0.7945  5 Pd 2.74-2.99

=====

Look up the magnetization of the fifth one.
0.0 μB/cell

=====

Look up the formation energy of the fourth one.
-0.2585 eV/atom